The following is a PBE calculation of a relaxed Sr2FeAu crystal, from Alexandria via LeMat-Bulk.

Output
- DOS(E_F): 6.059 states/eV per cell
- Total DFT energy (no corrections): -3.65 eV per atom
- Space-group type: P4mm
- ΔE_f: 47 kJ/mol of formula units
- Crystal system: tetragonal
- Total magnetization: 3.29 Bohr magnetons per cell

```
Sr2FeAu
1.0
3.696 0.000 0.000
0.000 3.696 0.000
0.000 0.000 8.819
Sr Fe Au
2 1 1
Direct
0.000 0.000 0.000
0.500 0.500 0.400
0.500 0.500 0.735
0.000 0.000 0.649
```

***

The following is a PBE calculation of a relaxed SrFeAu2 crystal, from Alexandria via LeMat-Bulk.

Output
- DOS(E_F): 3.842 states/eV per cell
- Total DFT energy (no corrections): -4.14 eV per atom
- Excess energy over the best structure of this formula in the dataset: 284 meV per atom
- Space-group type: P2/m
- ΔE_f: 15 kJ/mol of formula units
- Crystal system: monoclinic
- Total magnetization: 3.07 Bohr magnetons per cell

```
SrFeAu2
1.0
3.738 0.000 0.000
0.000 4.822 0.000
-0.017 0.000 4.789
Sr Fe Au
1 1 2
Direct
0.000 0.000 0.000
0.000 0.500 0.500
0.500 0.000 0.500
0.500 0.500 0.000
```

***

The following is a PBE calculation of a relaxed SrFeAu2 crystal, from Alexandria via LeMat-Bulk.

Output
- DOS(E_F): 3.021 states/eV per cell
- Total DFT energy (no corrections): -4.27 eV per atom
- Excess energy over the best structure of this formula in the dataset: 147 meV per atom
- Space-group type: Pm
- ΔE_f: -38 kJ/mol of formula units
- Crystal system: monoclinic
- Total magnetization: 2.96 Bohr magnetons per cell

```
SrFeAu2
1.0
4.032 0.000 0.000
0.000 4.755 0.000
-0.008 0.000 5.186
Sr Fe Au
1 1 2
Direct
0.000 0.000 0.000
0.500 0.500 0.693
0.500 0.000 0.506
0.500 0.500 0.188
```

***

The following is a PBE calculation of a relaxed Sr2FeAu crystal, from Alexandria via LeMat-Bulk.

Output
- DOS(E_F): 31.932 states/eV per cell
- Total DFT energy (no corrections): -3.44 eV per atom
- Space-group type: F-43m
- ΔE_f: 129 kJ/mol of formula units
- Crystal system: cubic
- Total magnetization: 12.07 Bohr magnetons per cell

```
Sr2FeAu
1.0
7.425 0.000 0.000
0.000 7.425 0.000
0.000 0.000 7.425
Sr Fe Au
8 4 4
Direct
0.000 0.000 0.000
0.000 0.500 0.500
0.250 0.250 0.250
0.250 0.750 0.750
0.500 0.000 0.500
0.500 0.500 0.000
0.750 0.250 0.750
0.750 0.750 0.250
0.250 0.250 0.750
0.250 0.750 0.250
0.750 0.250 0.250
0.750 0.750 0.750
0.000 0.000 0.500
0.000 0.500 0.000
0.500 0.000 0.000
0.500 0.500 0.500
```

***

The following is a PBE calculation of a relaxed SrFeAu2 crystal, from Alexandria via LeMat-Bulk.

Output
- DOS(E_F): 9.425 states/eV per cell
- Total DFT energy (no corrections): -4.42 eV per atom
- Excess energy over the best structure of this formula in the dataset: 0 meV per atom
- Space-group type: R-3m
- ΔE_f: -94 kJ/mol of formula units
- Crystal system: trigonal
- Total magnetization: 8.79 Bohr magnetons per cell

```
SrFeAu2
1.0
4.510 0.000 0.000
-2.255 3.905 0.000
0.000 0.000 16.252
Sr Fe Au
3 3 6
Direct
0.000 0.000 0.000
0.333 0.667 0.667
0.667 0.333 0.333
0.000 0.000 0.500
0.333 0.667 0.167
0.667 0.333 0.833
0.000 0.000 0.202
0.000 0.000 0.798
0.333 0.667 0.465
0.333 0.667 0.869
0.667 0.333 0.131
0.667 0.333 0.535
```

***

The following is a PBE calculation of a relaxed Sr2FeAu crystal, from Alexandria via LeMat-Bulk.

Output
- DOS(E_F): 7.997 states/eV per cell
- Total DFT energy (no corrections): -3.72 eV per atom
- Space-group type: Cm
- ΔE_f: 21 kJ/mol of formula units
- Crystal system: monoclinic
- Total magnetization: 4.78 Bohr magnetons per cell

```
Sr2FeAu
1.0
12.649 0.000 0.000
0.000 3.861 0.000
-2.071 0.000 4.691
Sr Fe Au
4 2 2
Direct
0.000 0.000 0.000
0.215 0.000 0.714
0.500 0.500 0.000
0.715 0.500 0.714
0.422 0.000 0.422
0.922 0.500 0.422
0.274 0.500 0.272
0.774 0.000 0.272
```

***

The following is a PBE calculation of a relaxed SrFeAu2 crystal, from Alexandria via LeMat-Bulk.

Output
- DOS(E_F): 21.440 states/eV per cell
- Total DFT energy (no corrections): -4.15 eV per atom
- Excess energy over the best structure of this formula in the dataset: 265 meV per atom
- Space-group type: Fm-3m
- ΔE_f: 8 kJ/mol of formula units
- Crystal system: cubic
- Total magnetization: 12.82 Bohr magnetons per cell

```
SrFeAu2
1.0
7.069 0.000 0.000
0.000 7.069 0.000
0.000 0.000 7.069
Sr Fe Au
4 4 8
Direct
0.000 0.000 0.000
0.000 0.500 0.500
0.500 0.000 0.500
0.500 0.500 0.000
0.000 0.000 0.500
0.000 0.500 0.000
0.500 0.000 0.000
0.500 0.500 0.500
0.250 0.250 0.250
0.250 0.250 0.750
0.250 0.750 0.250
0.250 0.750 0.750
0.750 0.250 0.250
0.750 0.250 0.750
0.750 0.750 0.250
0.750 0.750 0.750
```

***

The following is a PBE calculation of a relaxed SrFeAu3 crystal, from Alexandria via LeMat-Bulk.

Output
- DOS(E_F): 2.799 states/eV per cell
- Total DFT energy (no corrections): -4.12 eV per atom
- Excess energy over the best structure of this formula in the dataset: 0 meV per atom
- Space-group type: Pm-3m
- ΔE_f: -63 kJ/mol of formula units
- Crystal system: cubic
- Total magnetization: 2.90 Bohr magnetons per cell

```
SrFeAu3
1.0
4.957 0.000 0.000
0.000 4.957 0.000
0.000 0.000 4.957
Sr Fe Au
1 1 3
Direct
0.000 0.000 0.000
0.500 0.500 0.500
0.000 0.500 0.500
0.500 0.000 0.500
0.500 0.500 0.000
```

***

The following is a PBE calculation of a relaxed Sr2FeAu crystal, from Alexandria via LeMat-Bulk.

Output
- DOS(E_F): 10.883 states/eV per cell
- Total DFT energy (no corrections): -3.84 eV per atom
- Space-group type: Amm2
- ΔE_f: -26 kJ/mol of formula units
- Crystal system: orthorhombic
- Total magnetization: 4.70 Bohr magnetons per cell

```
Sr2FeAu
1.0
4.521 0.000 0.000
0.000 4.645 0.000
0.000 0.000 11.400
Sr Fe Au
4 2 2
Direct
0.000 0.000 0.000
0.000 0.500 0.500
0.500 0.000 0.289
0.500 0.500 0.789
0.500 0.000 0.595
0.500 0.500 0.095
0.000 0.000 0.702
0.000 0.500 0.202
```

***

The following is a PBE calculation of a relaxed SrFe4Au crystal, from Alexandria via LeMat-Bulk.

Output
- DOS(E_F): 5.419 states/eV per cell
- Total DFT energy (no corrections): -6.19 eV per atom
- Space-group type: F-43m
- ΔE_f: 161 kJ/mol of formula units
- Crystal system: cubic
- Total magnetization: 10.66 Bohr magnetons per cell

```
SrFe4Au
1.0
0.000 3.650 3.650
3.650 0.000 3.650
3.650 3.650 0.000
Sr Fe Au
1 4 1
Direct
0.000 0.000 0.000
0.375 0.375 0.375
0.375 0.375 0.875
0.375 0.875 0.375
0.875 0.375 0.375
0.750 0.750 0.750
```

***

The following is a PBE calculation of a relaxed SrFeAu2 crystal, from Alexandria via LeMat-Bulk.

Output
- DOS(E_F): 4.267 states/eV per cell
- Total DFT energy (no corrections): -4.28 eV per atom
- Excess energy over the best structure of this formula in the dataset: 142 meV per atom
- Space-group type: P2/m
- ΔE_f: -40 kJ/mol of formula units
- Crystal system: monoclinic
- Total magnetization: 3.23 Bohr magnetons per cell

```
SrFeAu2
1.0
3.321 0.000 0.000
0.000 3.565 0.000
-0.010 0.000 7.146
Sr Fe Au
1 1 2
Direct
0.000 0.000 0.000
0.000 0.000 0.500
0.500 0.500 0.304
0.500 0.500 0.696
```

***

The following is a PBE calculation of a relaxed SrFeAu crystal, from Alexandria via LeMat-Bulk.

Output
- DOS(E_F): 11.422 states/eV per cell
- Total DFT energy (no corrections): -4.16 eV per atom
- Space-group type: F-43m
- ΔE_f: 91 kJ/mol of formula units
- Crystal system: cubic
- Total magnetization: 10.70 Bohr magnetons per cell

```
SrFeAu
1.0
6.668 0.000 0.000
0.000 6.668 0.000
0.000 0.000 6.668
Sr Fe Au
4 4 4
Direct
0.000 0.000 0.000
0.000 0.500 0.500
0.500 0.000 0.500
0.500 0.500 0.000
0.250 0.250 0.750
0.250 0.750 0.250
0.750 0.250 0.250
0.750 0.750 0.750
0.000 0.000 0.500
0.000 0.500 0.000
0.500 0.000 0.000
0.500 0.500 0.500
```

***

The following is a PBE calculation of a relaxed Sr2FeAu crystal, from Alexandria via LeMat-Bulk.

Output
- DOS(E_F): 6.151 states/eV per cell
- Total DFT energy (no corrections): -3.71 eV per atom
- Space-group type: P2/m
- ΔE_f: 25 kJ/mol of formula units
- Crystal system: monoclinic
- Total magnetization: 2.31 Bohr magnetons per cell

```
Sr2FeAu
1.0
3.760 0.000 0.000
0.000 3.825 0.000
-0.015 0.000 7.707
Sr Fe Au
2 1 1
Direct
0.001 0.000 0.249
0.999 0.000 0.751
0.500 0.500 0.500
0.500 0.500 0.000
```

***

The following is a PBE calculation of a relaxed Sr2FeAu crystal, from Alexandria via LeMat-Bulk.

Output
- DOS(E_F): 24.704 states/eV per cell
- Total DFT energy (no corrections): -3.41 eV per atom
- Space-group type: I-42d
- ΔE_f: 140 kJ/mol of formula units
- Crystal system: tetragonal
- Total magnetization: 9.27 Bohr magnetons per cell

```
Sr2FeAu
1.0
8.365 0.000 0.000
0.000 8.365 0.000
0.000 0.000 7.036
Sr Fe Au
8 4 4
Direct
0.244 0.250 0.125
0.250 0.744 0.375
0.250 0.756 0.875
0.256 0.250 0.625
0.744 0.750 0.625
0.750 0.244 0.875
0.750 0.256 0.375
0.756 0.750 0.125
0.000 0.000 0.500
0.000 0.500 0.750
0.500 0.000 0.250
0.500 0.500 0.000
0.000 0.000 0.000
0.000 0.500 0.250
0.500 0.000 0.750
0.500 0.500 0.500
```

***

The following is a PBE calculation of a relaxed SrFeAu crystal, from Alexandria via LeMat-Bulk.

Output
- DOS(E_F): 12.861 states/eV per cell
- Total DFT energy (no corrections): -3.71 eV per atom
- Space-group type: F-43m
- ΔE_f: 222 kJ/mol of formula units
- Crystal system: cubic
- Total magnetization: 12.90 Bohr magnetons per cell

```
SrFeAu
1.0
7.141 0.000 0.000
0.000 7.141 0.000
0.000 0.000 7.141
Sr Fe Au
4 4 4
Direct
0.000 0.000 0.000
0.000 0.500 0.500
0.500 0.000 0.500
0.500 0.500 0.000
0.250 0.250 0.250
0.250 0.750 0.750
0.750 0.250 0.750
0.750 0.750 0.250
0.250 0.250 0.750
0.250 0.750 0.250
0.750 0.250 0.250
0.750 0.750 0.750
```

***

The following is a PBE calculation of a relaxed SrFeAu2 crystal, from Alexandria via LeMat-Bulk.

Output
- DOS(E_F): 5.679 states/eV per cell
- Total DFT energy (no corrections): -4.15 eV per atom
- Excess energy over the best structure of this formula in the dataset: 270 meV per atom
- Space-group type: P4mm
- ΔE_f: 10 kJ/mol of formula units
- Crystal system: tetragonal
- Total magnetization: 3.10 Bohr magnetons per cell

```
SrFeAu2
1.0
3.647 0.000 0.000
0.000 3.647 0.000
0.000 0.000 6.778
Sr Fe Au
1 1 2
Direct
0.000 0.000 0.000
0.500 0.500 0.648
0.000 0.000 0.534
0.500 0.500 0.262
```

***

The following is a PBE calculation of a relaxed SrFeAu3 crystal, from Alexandria via LeMat-Bulk.

Output
- DOS(E_F): 13.069 states/eV per cell
- Total DFT energy (no corrections): -2.84 eV per atom
- Excess energy over the best structure of this formula in the dataset: 1281 meV per atom
- Space-group type: Pm-3m
- ΔE_f: 556 kJ/mol of formula units
- Crystal system: cubic
- Total magnetization: 4.12 Bohr magnetons per cell

```
SrFeAu3
1.0
5.701 0.000 0.000
0.000 5.701 0.000
0.000 0.000 5.701
Sr Fe Au
1 1 3
Direct
0.000 0.000 0.000
0.500 0.500 0.500
0.000 0.000 0.500
0.000 0.500 0.000
0.500 0.000 0.000
```

***

The following is a PBE calculation of a relaxed SrFeAu2 crystal, from Alexandria via LeMat-Bulk.

Output
- DOS(E_F): 8.121 states/eV per cell
- Total DFT energy (no corrections): -4.36 eV per atom
- Excess energy over the best structure of this formula in the dataset: 56 meV per atom
- Space-group type: R3m
- ΔE_f: -73 kJ/mol of formula units
- Crystal system: trigonal
- Total magnetization: 8.84 Bohr magnetons per cell

```
SrFeAu2
1.0
4.522 0.000 0.000
-2.261 3.916 0.000
0.000 0.000 16.407
Sr Fe Au
3 3 6
Direct
0.000 0.000 0.000
0.333 0.667 0.667
0.667 0.333 0.333
0.000 0.000 0.190
0.333 0.667 0.856
0.667 0.333 0.523
0.000 0.000 0.533
0.000 0.000 0.803
0.333 0.667 0.199
0.333 0.667 0.469
0.667 0.333 0.136
0.667 0.333 0.866
```

***

The following is a PBE calculation of a relaxed SrFeAu2 crystal, from Alexandria via LeMat-Bulk.

Output
- DOS(E_F): 7.313 states/eV per cell
- Total DFT energy (no corrections): -4.10 eV per atom
- Excess energy over the best structure of this formula in the dataset: 315 meV per atom
- Space-group type: I-4m2
- ΔE_f: 27 kJ/mol of formula units
- Crystal system: tetragonal
- Total magnetization: 6.03 Bohr magnetons per cell

```
SrFeAu2
1.0
4.273 0.000 0.000
0.000 4.273 0.000
0.000 0.000 9.259
Sr Fe Au
2 2 4
Direct
0.000 0.000 0.000
0.500 0.500 0.500
0.000 0.500 0.250
0.500 0.000 0.750
0.000 0.000 0.500
0.000 0.500 0.750
0.500 0.000 0.250
0.500 0.500 0.000
```

***

The following is a PBE calculation of a relaxed Sr2FeAu crystal, from Alexandria via LeMat-Bulk.

Output
- DOS(E_F): 12.250 states/eV per cell
- Total DFT energy (no corrections): -3.54 eV per atom
- Space-group type: C2/m
- ΔE_f: 91 kJ/mol of formula units
- Crystal system: monoclinic
- Total magnetization: 4.96 Bohr magnetons per cell

```
Sr2FeAu
1.0
7.774 0.000 0.000
0.000 3.995 0.000
-1.974 0.000 8.186
Sr Fe Au
4 2 2
Direct
0.246 0.000 0.247
0.254 0.500 0.753
0.746 0.500 0.247
0.754 0.000 0.753
0.000 0.000 0.500
0.500 0.500 0.500
0.000 0.500 0.000
0.500 0.000 0.000
```